NaTl2CrO4: relaxed, PBE with a Hubbard U.

Results
V: 1366.8 Å³/cell
Final energy: -5.22 eV per atom

Unit cell a=5.716 b=11.364 c=21.039 alpha=90.00 beta=90.00 gamma=90.00
Space group Fddd (No. 70, origin choice 2)
Asymmetric unit:
Na1 0.125 0.125 0.125
Tl1 0.125 0.125 0.316
Cr1 0.125 0.125 0.625
O1 0.061 0.280 0.835